{"formula": "TlGaAgPb", "functional": "GGA-PBE", "state": "optimized geometry", "lattice_angstrom": [[0.000, 3.680, 3.680], [3.680, 0.000, 3.680], [3.680, 3.680, 0.000]], "species": ["Tl", "Ga", "Ag", "Pb"], "fractional_positions": [[0.000, 0.000, 0.000], [0.750, 0.750, 0.750], [0.250, 0.250, 0.250], [0.500, 0.500, 0.500]], "formation_enthalpy_0k_ev_per_atom": 0.1515, "mass_density_g_cm3": 9.814, "dos_at_fermi_per_ev_fu": 3.93, "magnetic_moment_mub_per_atom": 0.00}